# 1
# CuNiTe4 | Alexandria via LeMat-Bulk | PBE | relaxed
# Formation energy from raw total energies   1047 meV/atom
# Relative energy among the computed polymorphs   1.156 eV per atom
data_CuNiTe4
_cell_length_a 8.802
_cell_length_b 8.802
_cell_length_c 8.802
_cell_angle_alpha 90.00
_cell_angle_beta 90.00
_cell_angle_gamma 90.00
_space_group_name_H-M_alt 'F -4 3 m'
_space_group_IT_number 216
_space_group_name_Hall 'F -4 2 3'
loop_
_atom_site_label
_atom_site_fract_x
_atom_site_fract_y
_atom_site_fract_z
_atom_site_occupancy
Cu1 0.000 0.000 0.000 1
Ni1 0.250 0.250 0.750 1
Te1 0.125 0.125 0.375 1

---

# 2
# NaMgSi | Alexandria via LeMat-Bulk | PBE | relaxed
# Formation energy from raw total energies   118 meV/atom
data_NaMgSi
_cell_length_a 4.6758
_cell_length_b 4.6758
_cell_length_c 3.5611
_cell_angle_alpha 90.00
_cell_angle_beta 90.00
_cell_angle_gamma 120.00
_space_group_name_H-M_alt 'P -6 m 2'
_space_group_IT_number 187
_space_group_name_Hall 'P -6 2'
loop_
_atom_site_label
_atom_site_fract_x
_atom_site_fract_y
_atom_site_fract_z
_atom_site_occupancy
Na1 0.0000 0.0000 0.0000 1
Mg1 0.3333 0.6667 0.5000 1
Si1 0.6667 0.3333 0.5000 1

---

# 3
# HoCdAg | Alexandria via LeMat-Bulk | PBE | relaxed
# ΔE_f   -0.281 eV/atom
data_HoCdAg
_cell_length_a 4.8965
_cell_length_b 4.8965
_cell_length_c 3.3020
_cell_angle_alpha 90.00
_cell_angle_beta 90.00
_cell_angle_gamma 120.00
_space_group_name_H-M_alt 'P -6 m 2'
_space_group_IT_number 187
_space_group_name_Hall 'P -6 2'
loop_
_atom_site_label
_atom_site_fract_x
_atom_site_fract_y
_atom_site_fract_z
_atom_site_occupancy
Ho1 0.0000 0.0000 0.0000 1
Cd1 0.6667 0.3333 0.5000 1
Ag1 0.3333 0.6667 0.5000 1

---

Spin magnetization values, unit μB/f.u., following the record order: 1.2 0.0 0.0.
Density of states at the Fermi level values, unit states/eV per atom, following the record order: 2.26 0.38 0.46.